[1]
Entry from Alexandria: a geometry-optimized HfBe2Cd structure (GGA-PBEsol).

Properties
Calculated volume ... 15.829 Å³ per atom
ρ ... 8.10 g/cm3
Calculated formation energy ... 0.5613 eV/atom

Unit cell a=5.5159 b=5.5159 c=5.5159 alpha=105.06 beta=105.06 gamma=118.71
With the nearest neighbours (Å) after each atom.
Fractional positions:
Hf: 0.0000 0.0000 0.0000  4 Be 2.57, 2 Cd 2.81
Hf: 0.7500 0.2500 0.5000  4 Be 2.57, 2 Cd 2.81
Be: 0.1460 0.6250 0.0210  2 Cd 2.38, 2 Hf 2.57
Be: 0.3750 0.3960 0.5210  2 Cd 2.38, 2 Hf 2.57
Be: 0.6040 0.1250 0.9790  2 Cd 2.38, 2 Hf 2.57
Be: 0.8750 0.8540 0.4790  2 Cd 2.38, 2 Hf 2.57
Cd: 0.2500 0.7500 0.5000  4 Be 2.38
Cd: 0.5000 0.5000 0.0000  4 Be 2.38


[2]
Entry from Alexandria: a geometry-optimized LiCrOs2 structure (GGA-PBEsol).

Properties
Energy above the most stable polymorph in this dataset ... 0.0 meV per atom
Calculated volume ... 12.177 Å³ per atom
ρ ... 14.98 g/cm3
Calculated formation energy ... 0.1835 eV/atom

Unit cell a=4.0993 b=4.0993 c=4.0993 alpha=60.00 beta=60.00 gamma=60.00
With the nearest neighbours (Å) after each atom.
Fractional positions:
Li: 0.0000 0.0000 0.0000  8 Os 2.51
Cr: 0.5000 0.5000 0.5000  8 Os 2.51
Os: 0.2500 0.2500 0.2500  4 Cr 2.51, 4 Li 2.51
Os: 0.7500 0.7500 0.7500  4 Cr 2.51, 4 Li 2.51


[3]
Entry from Alexandria: a geometry-optimized TaMnFe structure (GGA-PBEsol).

Properties
Energy above the most stable polymorph in this dataset ... 582.4 meV per atom
Calculated volume ... 14.371 Å³ per atom
ρ ... 11.24 g/cm3
Calculated formation energy ... 0.6310 eV/atom

Unit cell a=3.9359 b=3.9359 c=3.9359 alpha=60.00 beta=60.00 gamma=60.00
With the nearest neighbours (Å) after each atom.
Fractional positions:
Ta: 0.0000 0.0000 0.0000  4 Mn 2.41
Mn: 0.2500 0.2500 0.2500  4 Fe 2.41, 4 Ta 2.41
Fe: 0.5000 0.5000 0.5000  4 Mn 2.41


[4]
Entry from Alexandria: a geometry-optimized Mg2CoCu structure (GGA-PBEsol).

Properties
Calculated volume ... 14.047 Å³ per atom
ρ ... 5.06 g/cm3
Calculated formation energy ... 0.1041 eV/atom

Unit cell a=3.0823 b=3.0823 c=5.9140 alpha=90.00 beta=90.00 gamma=90.00
With the nearest neighbours (Å) after each atom.
Fractional positions:
Mg: 0.0000 0.0000 0.2381  4 Co 2.59, 4 Cu 2.67, 1 Mg 2.82
Mg: 0.0000 0.0000 0.7619  4 Co 2.59, 4 Cu 2.67, 1 Mg 2.82
Co: 0.5000 0.5000 0.0000  8 Mg 2.59
Cu: 0.5000 0.5000 0.5000  8 Mg 2.67, 2 Co 2.96


[5]
Entry from Alexandria: a geometry-optimized Sr4Ru6ClO18 structure (GGA-PBEsol).

Properties
Electronic total energy ... -7.309 eV per atom
Calculated volume ... 13.470 Å³ per atom
ρ ... 5.44 g/cm3

Unit cell a=7.9763 b=7.9763 c=7.9763 alpha=109.47 beta=109.47 gamma=109.47
With the nearest neighbours (Å) after each atom.
Fractional positions:
Sr: 0.0000 0.0000 0.3750  6 O 2.52-2.70
Sr: 0.0000 0.3750 0.0000  6 O 2.52-2.70
Sr: 0.3750 0.0000 0.0000  6 O 2.52-2.70
Sr: 0.6250 0.6250 0.6250  6 O 2.52-2.70
Ru: 0.1638 0.5000 0.6638  6 O 1.91-1.96
Ru: 0.3362 0.8362 0.5000  6 O 1.91-1.96
Ru: 0.5000 0.3362 0.8362  6 O 1.91-1.96
Ru: 0.5000 0.6638 0.1638  6 O 1.91-1.96
Ru: 0.6638 0.1638 0.5000  6 O 1.91-1.96
Ru: 0.8362 0.5000 0.3362  6 O 1.91-1.96
Cl: 0.0000 0.0000 0.0000  4 Sr 2.99
O: 0.0000 0.3732 0.3732  2 Ru 1.91
O: 0.0000 0.6268 0.6268  2 Ru 1.91
O: 0.0443 0.6909 0.3117  2 Ru 1.93-1.96
O: 0.2674 0.6466 0.9557  2 Ru 1.93-1.96
O: 0.3091 0.3534 0.6208  2 Ru 1.93-1.96
O: 0.3117 0.0443 0.6909  2 Ru 1.93-1.96
O: 0.3534 0.6208 0.3091  2 Ru 1.93-1.96
O: 0.3732 0.0000 0.3732  2 Ru 1.91
O: 0.3732 0.3732 0.0000  2 Ru 1.91
O: 0.3792 0.7326 0.6883  2 Ru 1.93-1.96
O: 0.6208 0.3091 0.3534  2 Ru 1.93-1.96
O: 0.6268 0.0000 0.6268  2 Ru 1.91
O: 0.6268 0.6268 0.0000  2 Ru 1.91
O: 0.6466 0.9557 0.2674  2 Ru 1.93-1.96
O: 0.6883 0.3792 0.7326  2 Ru 1.93-1.96
O: 0.6909 0.3117 0.0443  2 Ru 1.93-1.96
O: 0.7326 0.6883 0.3792  2 Ru 1.93-1.96
O: 0.9557 0.2674 0.6466  2 Ru 1.93-1.96


[6]
Entry from Alexandria: a geometry-optimized KBe2Al structure (GGA-PBEsol).

Properties
Calculated volume ... 16.326 Å³ per atom
ρ ... 2.14 g/cm3
Calculated formation energy ... 0.8395 eV/atom

Unit cell a=9.7176 b=9.7176 c=9.7176 alpha=16.60 beta=16.60 gamma=16.60
With the nearest neighbours (Å) after each atom.
Fractional positions:
K: 0.0000 0.0000 0.0000  6 K 2.81
Be: 0.2351 0.2351 0.2351  3 Al 2.55, 6 Be 2.81
Be: 0.7649 0.7649 0.7649  3 Al 2.55, 6 Be 2.81
Al: 0.5000 0.5000 0.5000  6 Be 2.55, 6 Al 2.81


[7]
Entry from Alexandria: a geometry-optimized BeP2OsS structure (GGA-PBEsol).

Properties
Electronic total energy ... -5.432 eV per atom
Calculated volume ... 20.011 Å³ per atom
ρ ... 4.87 g/cm3

Unit cell a=4.3818 b=4.3818 c=5.2110 alpha=90.00 beta=90.00 gamma=90.00
With the nearest neighbours (Å) after each atom.
Fractional positions:
Be: 0.0000 0.0000 0.0000  4 S 3.10, 8 P 3.40
P: 0.0000 0.5000 0.5000  2 Os 2.19
P: 0.5000 0.0000 0.5000  2 Os 2.19
Os: 0.5000 0.5000 0.5000  4 P 2.19
S: 0.5000 0.5000 0.0000  2 Os 2.61


[8]
Entry from Alexandria: a geometry-optimized Ba2HgP2 structure (GGA-PBEsol).

Properties
Calculated volume ... 32.282 Å³ per atom
ρ ... 5.53 g/cm3
Calculated formation energy ... -0.5434 eV/atom

Unit cell a=6.2282 b=6.2282 c=6.2282 alpha=123.32 beta=123.32 gamma=84.35
With the nearest neighbours (Å) after each atom.
Fractional positions:
Ba: 0.2500 0.7500 0.5000  4 P 3.19
Ba: 0.7500 0.2500 0.5000  4 P 3.19
Hg: 0.0000 0.0000 0.0000  2 P 3.50, 8 Ba 3.75
P: 0.3795 0.3795 0.0000  1 P 2.22
P: 0.6205 0.6205 0.0000  1 P 2.22


[9]
Entry from Alexandria: a geometry-optimized YCoRh structure (GGA-PBEsol).

Properties
Calculated volume ... 18.760 Å³ per atom
ρ ... 7.40 g/cm3
Calculated formation energy ... 0.6070 eV/atom

Unit cell a=4.3016 b=4.3016 c=4.3016 alpha=60.00 beta=60.00 gamma=60.00
With the nearest neighbours (Å) after each atom.
Fractional positions:
Y: 0.0000 0.0000 0.0000  4 Co 2.63, 4 Rh 2.63
Co: 0.7500 0.7500 0.7500  4 Y 2.63
Rh: 0.2500 0.2500 0.2500  4 Y 2.63


[10]
Entry from Alexandria: a geometry-optimized LaHgIr structure (GGA-PBEsol).

Properties
Calculated volume ... 22.180 Å³ per atom
ρ ... 13.27 g/cm3
Calculated formation energy ... -0.2756 eV/atom

Unit cell a=6.0697 b=6.0697 c=6.0697 alpha=148.71 beta=144.88 gamma=47.74
With the nearest neighbours (Å) after each atom.
Fractional positions:
La: 0.0000 0.0000 0.0000  4 Ir 2.95, 1 Hg 3.21, 2 La 3.27
Hg: 0.2891 0.2891 0.0000  4 Ir 2.92, 1 La 3.21
Ir: 0.6467 0.6467 0.0000  4 Hg 2.92, 4 La 2.95


[11]
Entry from Alexandria: a geometry-optimized TaZnCr2 structure (GGA-PBEsol).

Properties
Calculated volume ... 13.530 Å³ per atom
ρ ... 10.75 g/cm3
Calculated formation energy ... 0.1947 eV/atom

Unit cell a=2.6123 b=2.6123 c=8.4087 alpha=90.00 beta=90.00 gamma=109.41
With the nearest neighbours (Å) after each atom.
Fractional positions:
Ta: 0.0000 0.0000 0.0000  4 Ta 2.61, 2 Cr 2.66, 2 Zn 2.80
Zn: 0.5000 0.5000 0.2808  2 Cr 2.58, 4 Zn 2.61, 2 Ta 2.80
Cr: 0.0000 0.0000 0.5291  2 Cr 2.32, 2 Zn 2.58
Cr: 0.5000 0.5000 0.7391  2 Cr 2.32


[12]
Entry from Alexandria: a geometry-optimized ScBe3Ru structure (GGA-PBEsol).

Properties
Calculated volume ... 14.058 Å³ per atom
ρ ... 4.09 g/cm3
Calculated formation energy ... 0.0992 eV/atom

Unit cell a=4.1270 b=4.1270 c=4.1270 alpha=90.00 beta=90.00 gamma=90.00
With the nearest neighbours (Å) after each atom.
Fractional positions:
Sc: 0.0000 0.0000 0.0000  12 Be 2.92
Be: 0.0000 0.5000 0.5000  2 Ru 2.06
Be: 0.5000 0.0000 0.5000  2 Ru 2.06
Be: 0.5000 0.5000 0.0000  2 Ru 2.06
Ru: 0.5000 0.5000 0.5000  6 Be 2.06